(w)
Computed, not measured: a relaxed Nd4Sm2Er3 crystal at the PBE level of DFT.

Geometry as POSCAR:
```
Nd4Sm2Er3
1.0
6.893 -6.863 0.000
6.893 6.863 0.000
-0.450 0.000 6.450
Nd Sm Er
8 4 6
Direct
0.098 0.688 0.888 Nd
0.187 0.554 0.391 Nd
0.312 0.902 0.612 Nd
0.446 0.813 0.109 Nd
0.554 0.187 0.891 Nd
0.688 0.098 0.388 Nd
0.813 0.446 0.609 Nd
0.902 0.312 0.112 Nd
0.230 0.348 0.949 Sm
0.348 0.230 0.449 Sm
0.652 0.770 0.551 Sm
0.770 0.652 0.051 Sm
0.026 0.162 0.590 Er
0.162 0.026 0.090 Er
0.465 0.535 0.750 Er
0.535 0.465 0.250 Er
0.838 0.974 0.910 Er
0.974 0.838 0.410 Er
```

space group: No. 15
crystal system: monoclinic
ρ: 7.51 g/cm3
density of states at the Fermi level: 21.1 states/eV/cell

=====

(x)
Computed, not measured: a relaxed Nd4Sm2Er3 crystal at the PBE level of DFT.

Geometry as POSCAR:
```
Nd4Sm2Er3
1.0
5.703 -2.557 0.000
5.703 2.557 0.000
-3.389 0.000 10.285
Nd Sm Er
4 2 3
Direct
0.001 0.001 0.334 Nd
0.334 0.334 0.112 Nd
0.666 0.666 0.888 Nd
0.999 0.999 0.666 Nd
0.332 0.332 0.776 Sm
0.668 0.668 0.224 Sm
0.000 0.000 0.000 Er
0.334 0.334 0.446 Er
0.666 0.666 0.554 Er
```

space group: No. 12
crystal system: monoclinic
ρ: 7.64 g/cm3
density of states at the Fermi level: 12.0 states/eV/cell

=====

Most stable to least stable, the ends of the list are (x) and (w).

=====

(w)
Computed, not measured: a relaxed Nd3SmEr6 crystal at the PBE level of DFT.

Geometry as POSCAR:
```
Nd3SmEr6
1.0
5.763 -3.281 0.000
5.763 3.281 0.000
-3.970 0.000 8.786
Nd Sm Er
3 1 6
Direct
0.000 0.000 0.000 Nd
0.070 0.070 0.698 Nd
0.930 0.930 0.302 Nd
0.500 0.500 0.500 Sm
0.067 0.562 0.689 Er
0.362 0.362 0.078 Er
0.438 0.933 0.311 Er
0.562 0.067 0.689 Er
0.638 0.638 0.922 Er
0.933 0.438 0.311 Er
```

space group: No. 12
crystal system: monoclinic
ρ: 7.93 g/cm3
density of states at the Fermi level: 17.6 states/eV/cell

=====

(x)
Computed, not measured: a relaxed Nd3SmEr6 crystal at the PBE level of DFT.

Geometry as POSCAR:
```
Nd3SmEr6
1.0
13.034 0.000 0.000
0.000 3.530 0.000
-2.551 0.000 14.086
Nd Sm Er
6 2 12
Direct
0.075 0.250 0.101 Nd
0.372 0.750 0.496 Nd
0.421 0.250 0.902 Nd
0.579 0.750 0.098 Nd
0.628 0.250 0.504 Nd
0.925 0.750 0.899 Nd
0.041 0.250 0.720 Sm
0.959 0.750 0.280 Sm
0.120 0.250 0.486 Er
0.194 0.750 0.926 Er
0.221 0.750 0.287 Er
0.271 0.750 0.700 Er
0.345 0.250 0.123 Er
0.499 0.750 0.309 Er
0.501 0.250 0.691 Er
0.655 0.750 0.877 Er
0.729 0.250 0.300 Er
0.779 0.250 0.713 Er
0.806 0.250 0.074 Er
0.880 0.750 0.514 Er
```

space group: No. 11
crystal system: monoclinic
ρ: 8.13 g/cm3
density of states at the Fermi level: 29.0 states/eV/cell

=====

Most stable to least stable, the ends of the list are (x) and (w).